(1)
A plane-wave DFT calculation with GGA-PBE was carried out for a relaxed CaPuZn crystal.

Cell lengths 3.4794, 3.4794, 7.1385 Å; angles 104.11, 104.11, 90.00 degrees
Site moments in Bohr magnetons follow the coordinates.
Atoms (fractional coordinates):
Zn (0.6693, 0.6693, 0.3386)  -0.01
Ca (0.0237, 0.0237, 0.0474)  0.03
Pu (0.3070, 0.3070, 0.6140)  5.58

Calculated values
energy above the most stable polymorph in this dataset	44	meV/atom
SG	I4mm, No. 107

=====

(2)
A plane-wave DFT calculation with GGA-PBE was carried out for a relaxed Ho2TmS3 crystal.

Cell lengths 3.8804, 5.4618, 6.6954 Å; angles 114.07, 106.84, 90.00 degrees
Atoms (fractional coordinates):
Ho (0.1682, 0.6681, 0.3363)
Ho (0.8318, 0.3319, 0.6637)
Tm (0.5000, 0.0000, 0.0000)
S (0.5000, 0.5000, 0.0000)
S (0.1642, 0.1642, 0.3283)
S (0.8358, 0.8358, 0.6717)

Calculated values
formation energy (no corrections)	-1.957	eV/atom
SG	Immm, No. 71

=====

(3)
A plane-wave DFT calculation with GGA-PBE was carried out for a relaxed B2OsI2 crystal.

Cell lengths 3.1184, 3.1184, 8.8465 Å; angles 79.85, 79.85, 90.00 degrees
Atoms (fractional coordinates):
I (0.3914, 0.3914, 0.2173)
I (0.6086, 0.6086, 0.7827)
B (0.7500, 0.2500, 0.5000)
B (0.2500, 0.7500, 0.5000)
Os (0.0000, 0.0000, 0.0000)

Calculated values
formation energy (no corrections)	1.870	eV/atom
energy above the most stable polymorph in this dataset	0	meV/atom
SG	I4/mmm, No. 139

=====

(4)
A plane-wave DFT calculation with GGA-PBE was carried out for a relaxed RbTaB2O6 crystal.

Cell lengths 5.1810, 5.1810, 6.6859 Å; angles 67.20, 67.20, 60.00 degrees
Atoms (fractional coordinates):
Rb (0.0000, 0.0000, 0.0000)
Ta (0.5000, 0.5000, 0.5000)
B (0.7699, 0.7699, 0.6903)
B (0.2301, 0.2301, 0.3097)
O (0.0756, 0.6099, 0.6940)
O (0.6204, 0.0756, 0.6940)
O (0.3901, 0.3796, 0.3060)
O (0.9244, 0.3901, 0.3060)
O (0.3796, 0.9244, 0.3060)
O (0.6099, 0.6204, 0.6940)

Calculated values
formation energy (no corrections)	-2.574	eV/atom
energy above the most stable polymorph in this dataset	21	meV/atom
SG	R-3, No. 148

=====

(5)
A plane-wave DFT calculation with GGA-PBE was carried out for a relaxed InSn2Bi crystal.

Cell lengths 4.1329, 4.1329, 6.7874 Å; angles 90.00, 90.00, 90.00 degrees
Atoms (fractional coordinates):
In (0.5000, 0.5000, 0.0000)
Bi (0.5000, 0.5000, 0.5000)
Sn (0.0000, 0.0000, 0.7541)
Sn (0.0000, 0.0000, 0.2459)

Calculated values
energy above the most stable polymorph in this dataset	33	meV/atom
SG	P4/mmm, No. 123

=====

(6)
A plane-wave DFT calculation with GGA-PBE was carried out for a relaxed LaOs3C crystal.

Cell lengths 4.8414, 4.8414, 4.8414 Å; angles 90.00, 90.00, 90.00 degrees
Atoms (fractional coordinates):
C (0.5000, 0.5000, 0.5000)
Os (0.0000, 0.5000, 0.0000)
Os (0.0000, 0.0000, 0.5000)
Os (0.5000, 0.0000, 0.0000)
La (0.0000, 0.0000, 0.0000)

Calculated values
energy above the most stable polymorph in this dataset	3936	meV/atom
SG	Pm-3m, No. 221

=====

(7)
A plane-wave DFT calculation with GGA-PBE was carried out for a relaxed BePbBr crystal.

Cell lengths 7.1945, 7.1945, 7.1945 Å; angles 153.55, 153.55, 37.76 degrees
Atoms (fractional coordinates):
Pb (0.6307, 0.6307, 0.0000)
Be (0.9794, 0.9794, 0.0000)
Br (0.3899, 0.3899, 0.0000)

Calculated values
formation energy (no corrections)	0.314	eV/atom
energy above the most stable polymorph in this dataset	277	meV/atom
SG	I4mm, No. 107

=====

(8)
A plane-wave DFT calculation with GGA-PBE was carried out for a relaxed ReTc5B2 crystal.

Cell lengths 2.9359, 5.8707, 6.7492 Å; angles 115.78, 102.56, 90.00 degrees
Atoms (fractional coordinates):
Re (0.0000, 0.0000, 0.0000)
Tc (0.0000, 0.5000, 0.0000)
Tc (0.6494, 0.3918, 0.2989)
Tc (0.3506, 0.6082, 0.7011)
Tc (0.6494, 0.9071, 0.2989)
Tc (0.3506, 0.0929, 0.7011)
B (0.2044, 0.7044, 0.4088)
B (0.7956, 0.2956, 0.5912)

Calculated values
energy	-9.8631	eV per atom
SG	Immm, No. 71

=====

(9)
A plane-wave DFT calculation with GGA-PBE was carried out for a relaxed BeCuAs crystal.

Cell lengths 6.4331, 4.0068, 4.0082 Å; angles 60.00, 89.99, 90.00 degrees
Atoms (fractional coordinates):
Be (0.1937, 0.4710, 0.2047)
Be (0.6937, 0.8063, 0.5391)
As (0.3436, 0.8045, 0.5378)
As (0.8436, 0.4727, 0.2060)
Cu (0.7509, 0.1396, 0.8726)
Cu (0.2510, 0.1377, 0.8713)

Calculated values
energy	-4.1900	eV per atom
SG	Cmc2_1, No. 36

=====

(10)
A plane-wave DFT calculation with GGA-PBE was carried out for a relaxed Mg2SiSe4 crystal.

Cell lengths 6.3001, 7.9028, 13.5200 Å; angles 90.00, 90.00, 90.00 degrees
Atoms (fractional coordinates):
Si (0.4048, 0.2500, 0.4114)
Si (0.9048, 0.7500, 0.0886)
Si (0.5952, 0.7500, 0.5886)
Si (0.0952, 0.2500, 0.9114)
Mg (0.5000, 0.0000, 0.0000)
Mg (0.0000, 0.0000, 0.5000)
Mg (0.5000, 0.5000, 0.0000)
Mg (0.0000, 0.5000, 0.5000)
Mg (0.9937, 0.2500, 0.2324)
Mg (0.4937, 0.7500, 0.2676)
Mg (0.0063, 0.7500, 0.7676)
Mg (0.5063, 0.2500, 0.7324)
Se (0.7661, 0.2500, 0.4074)
Se (0.2661, 0.7500, 0.0926)
Se (0.2339, 0.7500, 0.5926)
Se (0.7339, 0.2500, 0.9074)
Se (0.2568, 0.2500, 0.5681)
Se (0.7568, 0.7500, 0.9319)
Se (0.7432, 0.7500, 0.4319)
Se (0.2432, 0.2500, 0.0681)
Se (0.2483, 0.0217, 0.3327)
Se (0.7483, 0.9783, 0.1673)
Se (0.7517, 0.5217, 0.6673)
Se (0.2517, 0.4783, 0.8327)
Se (0.7517, 0.9783, 0.6673)
Se (0.2517, 0.0217, 0.8327)
Se (0.2483, 0.4783, 0.3327)
Se (0.7483, 0.5217, 0.1673)

Calculated values
formation energy (no corrections)	-0.921	eV/atom
energy above the most stable polymorph in this dataset	0	meV/atom
SG	Pnma, No. 62

=====

(11)
A plane-wave DFT calculation with GGA-PBE was carried out for a relaxed Tb2Dy3Cd4 crystal.

Cell lengths 6.7101, 8.0889, 9.9325 Å; angles 90.00, 109.74, 90.00 degrees
Atoms (fractional coordinates):
Tb (0.0920, 0.6003, 0.1840)
Tb (0.9080, 0.3997, 0.8160)
Tb (0.4080, 0.1003, 0.8160)
Tb (0.5920, 0.8997, 0.1840)
Dy (0.0000, 0.0000, 0.0000)
Dy (0.5000, 0.5000, 0.0000)
Dy (0.5047, 0.7500, 0.5093)
Dy (0.9953, 0.2500, 0.4907)
Dy (0.4953, 0.2500, 0.4907)
Dy (0.0047, 0.7500, 0.5093)
Cd (0.6742, 0.7500, 0.8485)
Cd (0.8258, 0.2500, 0.1515)
Cd (0.3258, 0.2500, 0.1515)
Cd (0.1742, 0.7500, 0.8485)
Cd (0.1600, 0.9812, 0.3200)
Cd (0.8400, 0.0188, 0.6800)
Cd (0.3400, 0.4812, 0.6800)
Cd (0.6600, 0.5188, 0.3200)

Calculated values
energy	-3.1135	eV per atom
SG	Cmce, No. 64

=====

(12)
A plane-wave DFT calculation with GGA-PBE was carried out for a relaxed Ca2PrTlO crystal.

Cell lengths 5.0769, 4.8717, 4.8717 Å; angles 90.00, 90.00, 90.00 degrees
Atoms (fractional coordinates):
Ca (0.0000, 0.0000, 0.5000)
Ca (0.0000, 0.5000, 0.0000)
Pr (0.5000, 0.0000, 0.0000)
Tl (0.5000, 0.5000, 0.5000)
O (0.0000, 0.0000, 0.0000)

Calculated values
formation energy (no corrections)	-1.381	eV/atom
SG	P4/mmm, No. 123

=====

> Which formula does entry 12 have?

Ca2PrTlO